No. 1
First-principles (PBE-GGA) data for an optimized crystal structure of LiPPbSe4, as listed in Alexandria.

Calculated values
* ΔE_f (raw): -0.421 eV per atom
* SG: P2_1/m, No. 11

The structure in extended XYZ format:
```
14
Lattice="7.150 0.000 0.000 0.000 6.873 0.000 -2.645 0.000 7.666" Properties=species:S:1:pos:R:3 pbc="T T T"
Li 0.184 1.718 3.525
Li 4.322 5.154 4.142
P 0.085 5.154 5.263
P 4.420 1.718 2.403
Pb -0.501 1.718 7.198
Pb 5.006 5.154 0.468
Se -1.674 5.154 6.595
Se -0.360 5.154 3.117
Se 1.459 0.020 5.701
Se 1.459 3.416 5.701
Se 3.046 3.457 1.965
Se 3.046 6.852 1.965
Se 4.865 1.718 4.549
Se 6.179 1.718 1.071
```



No. 2
First-principles (PBE-GGA) data for an optimized crystal structure of AcDy4Er15, as listed in Alexandria.

Calculated values
* formation enthalpy at 0 K: 0.0333 eV/atom
* SG: P4/mmm, No. 123

The structure in extended XYZ format:
```
20
Lattice="5.000 0.000 0.000 0.000 5.000 0.000 0.000 0.000 24.991" Properties=species:S:1:pos:R:3 pbc="T T T"
Ac 0.000 0.000 0.000
Dy 0.000 0.000 5.073
Dy 0.000 0.000 10.027
Dy 0.000 0.000 14.963
Dy 0.000 0.000 19.918
Er 0.000 2.500 2.632
Er 0.000 2.500 7.557
Er 0.000 2.500 12.495
Er 0.000 2.500 17.434
Er 0.000 2.500 22.359
Er 2.500 0.000 2.632
Er 2.500 0.000 7.557
Er 2.500 0.000 12.495
Er 2.500 0.000 17.434
Er 2.500 0.000 22.359
Er 2.500 2.500 0.000
Er 2.500 2.500 5.097
Er 2.500 2.500 10.024
Er 2.500 2.500 14.966
Er 2.500 2.500 19.894
```



No. 3
First-principles (PBE-GGA) data for an optimized crystal structure of LiSb4Te, as listed in Alexandria.

Calculated values
* ΔE_f (raw): 0.153 eV per atom
* SG: F-43m, No. 216

The structure in extended XYZ format:
```
6
Lattice="0.000 4.444 4.444 4.444 0.000 4.444 4.444 4.444 0.000" Properties=species:S:1:pos:R:3 pbc="T T T"
Li 0.000 0.000 0.000
Sb 5.537 3.352 3.352
Sb 3.352 5.537 3.352
Sb 3.352 3.352 5.537
Sb 5.537 5.537 5.537
Te 2.222 2.222 2.222
```



Number 1: total magnetic moment 0.00 Bohr magnetons per cell. Number 2: total magnetic moment 0.00 Bohr magnetons per cell. Number 3: total magnetic moment 0.00 Bohr magnetons per cell.